(1)
First-principles (PBE-GGA) data for a geometry-optimized PuCdHgSb structure, as listed in Alexandria via LeMat-Bulk.

Computed properties:
Crystal system: orthorhombic
SG: No. 47

a = 4.5617 Å, b = 4.3196 Å, c = 5.1403 Å
α = 90.00°, β = 90.00°, γ = 90.00°
Last column: magnetic moment on the atom in μB.
Fractional positions:
1 Pu 0.5000 0.5000 0.0000  -5.30
2 Cd 0.0000 0.5000 0.5000  0.00
3 Hg 0.5000 0.0000 0.5000  0.00
4 Sb 0.0000 0.0000 0.0000  0.08

---

(2)
First-principles (PBE-GGA) data for a geometry-optimized MnAu2 structure, as listed in Alexandria via LeMat-Bulk.

Computed properties:
Crystal system: orthorhombic
SG: No. 63

a = 7.6007 Å, b = 7.6007 Å, c = 2.8891 Å
α = 90.00°, β = 90.00°, γ = 144.74°
Last column: magnetic moment on the atom in μB.
Fractional positions:
1 Au 0.5920 0.4080 0.7500  0.01
2 Au 0.2160 0.7840 0.7500  0.01
3 Au 0.7840 0.2160 0.2500  0.01
4 Au 0.4080 0.5920 0.2500  0.01
5 Mn 0.9487 0.0513 0.7500  0.45
6 Mn 0.0513 0.9487 0.2500  0.45

---

(3)
First-principles (PBE-GGA) data for a geometry-optimized NaGa2Pd structure, as listed in Alexandria via LeMat-Bulk.

Computed properties:
Crystal system: trigonal
SG: No. 160

a = 4.3457 Å, b = 4.3457 Å, c = 5.8093 Å
α = 68.04°, β = 68.04°, γ = 60.00°
Fractional positions:
1 Pd 0.6783 0.6783 0.9650
2 Ga 0.2929 0.2929 0.1214
3 Ga 0.0358 0.0358 0.8925
4 Na 0.4930 0.4930 0.5210

---

| no. | calculated total energy (eV per atom) | total magnetization (μB per formula unit) |
| --- | --- | --- |
| 1 | -5.2295 | 5.47 |
| 2 | -4.9801 | 0.50 |
| 3 | -3.4751 | 0.00 |